Record 1
DFT (PBE) results for Ce3CoRh after structural relaxation.

## Properties
Magnetic moment = 1.91 Bohr magnetons per cell
Energy of formation = -0.342 eV per atom
Energy = -6.79 eV/atom

a b c (Å): 4.6782 6.8758 7.4381
angles (deg): 90.00 71.67 90.00
Each line ends with the local moment (μB).
Fractional coordinates of all 10 atoms:
Rh  0.3701  0.6200  0.9783  -0.01
Rh  0.6556  0.1200  0.4072  -0.01
Ce  0.7722  0.4473  0.1739  0.17
Ce  0.4420  0.2553  0.8343  0.34
Ce  0.9528  0.8325  0.8129  0.32
Ce  0.0729  0.3324  0.5726  0.32
Ce  0.2535  0.9473  0.2115  0.17
Ce  0.5836  0.7552  0.5511  0.34
Co  0.1715  0.6231  0.3754  -0.06
Co  0.8542  0.1231  0.0101  -0.06

Record 2
DFT (PBE) results for Ac2Tl3Hg after structural relaxation.

## Properties
Magnetic moment = 0.00 Bohr magnetons per cell
Energy of formation = -0.346 eV per atom
Energy = -2.95 eV/atom

a b c (Å): 5.1673 6.6121 6.6806
angles (deg): 75.98 67.25 67.00
Fractional coordinates of all 6 atoms:
Tl  0.8340  0.2371  0.0948
Tl  0.1618  0.7595  0.9168
Tl  0.8355  0.6718  0.6572
Ac  0.4695  0.7784  0.2827
Ac  0.5298  0.2264  0.7140
Hg  0.1694  0.3268  0.3344

Question: Among the records above, which one has the lowest energy of formation?
Answer: Ac2Tl3Hg

Please write out number 1 again, unchanged.
DFT (PBE) results for Ce3CoRh after structural relaxation.

## Properties
Magnetic moment = 1.91 Bohr magnetons per cell
Energy of formation = -0.342 eV per atom
Energy = -6.79 eV/atom

a b c (Å): 4.6782 6.8758 7.4381
angles (deg): 90.00 71.67 90.00
Each line ends with the local moment (μB).
Fractional coordinates of all 10 atoms:
Rh  0.3701  0.6200  0.9783  -0.01
Rh  0.6556  0.1200  0.4072  -0.01
Ce  0.7722  0.4473  0.1739  0.17
Ce  0.4420  0.2553  0.8343  0.34
Ce  0.9528  0.8325  0.8129  0.32
Ce  0.0729  0.3324  0.5726  0.32
Ce  0.2535  0.9473  0.2115  0.17
Ce  0.5836  0.7552  0.5511  0.34
Co  0.1715  0.6231  0.3754  -0.06
Co  0.8542  0.1231  0.0101  -0.06